AcB14Mo | PBE | optimized geometry

Properties
Its symmetry is Imma (74). Its energy is -219.36 eV per cell. As for the crystal system: orthorhombic. The value obtained for the energy relative to the elements is -0.079 eV/atom.

a = 5.9121 Å, b = 7.5790 Å, c = 7.5790 Å
α = 67.30°, β = 67.04°, γ = 67.04°
Positions (direct):
B 0.7204 0.5988 0.2817
B 0.1777 0.6265 0.5241
B 0.3340 0.6383 0.6937
B 0.8340 0.1937 0.1383
B 0.6777 0.0241 0.1265
B 0.2796 0.4012 0.7183
B 0.6660 0.3617 0.3063
B 0.3991 0.5988 0.2817
B 0.0803 0.0876 0.7518
B 0.1660 0.8063 0.8617
B 0.5803 0.2518 0.5876
B 0.6166 0.0180 0.7487
B 0.4197 0.7482 0.4124
B 0.2204 0.7817 0.0988
B 0.3834 0.9820 0.2513
B 0.1166 0.2487 0.5180
B 0.1009 0.2183 0.9012
B 0.6009 0.4012 0.7183
B 0.3284 0.3735 0.4759
B 0.8991 0.7817 0.0988
B 0.8834 0.7513 0.4820
B 0.9197 0.9124 0.2482
B 0.8223 0.3735 0.4759
B 0.7796 0.2183 0.9012
B 0.3223 0.9759 0.8735
B 0.1716 0.0241 0.1265
B 0.6716 0.6265 0.5241
B 0.8284 0.9759 0.8735
Mo 0.0000 0.0000 0.5000
Mo 0.5000 0.0000 0.5000
Ac 0.2500 0.3778 0.1222
Ac 0.7500 0.6222 0.8778

***

PuUAs2O | PBE | optimized geometry

Properties
Its symmetry is P4/nmm (129). Its energy is -89.49 eV per cell. As for the crystal system: tetragonal.

a = 3.9583 Å, b = 3.9583 Å, c = 13.3688 Å
α = 90.00°, β = 90.00°, γ = 90.00°
Positions (direct):
Pu 0.5000 0.0000 0.5889
Pu 0.0000 0.5000 0.4111
As 0.0000 0.5000 0.6851
As 0.5000 0.0000 0.8895
As 0.0000 0.5000 0.1105
As 0.5000 0.0000 0.3149
O 0.0000 0.0000 0.5000
O 0.5000 0.5000 0.5000
U 0.0000 0.5000 0.8900
U 0.5000 0.0000 0.1100

***

Tb2Al3Ge4 | PBE | optimized geometry

Properties
Its symmetry is Cmce (64). Its energy is -86.04 eV per cell. As for the crystal system: orthorhombic. The value obtained for the energy relative to the elements is -0.452 eV/atom.

a = 7.9683 Å, b = 7.9683 Å, c = 7.9406 Å
α = 90.00°, β = 90.00°, γ = 135.67°
Positions (direct):
Al 0.4659 0.0341 0.7500
Al 0.5341 0.9659 0.2500
Al 0.0000 0.0000 0.0000
Al 0.5000 0.5000 0.5000
Al 0.9659 0.5341 0.7500
Al 0.0341 0.4659 0.2500
Tb 0.6146 0.3854 0.0808
Tb 0.8854 0.1146 0.5808
Tb 0.1146 0.8854 0.4192
Tb 0.3854 0.6146 0.9192
Ge 0.7054 0.7946 0.2500
Ge 0.1854 0.8146 0.0531
Ge 0.2946 0.2054 0.7500
Ge 0.2054 0.2946 0.2500
Ge 0.3146 0.6854 0.5531
Ge 0.6854 0.3146 0.4469
Ge 0.8146 0.1854 0.9469
Ge 0.7946 0.7054 0.7500

***

LiIrOs | PBE | optimized geometry

Properties
As for the polymorph energy (0 for the lowest one): 9 meV per atom. Its symmetry is Pm (6). Its energy is -44.11 eV per cell. As for the crystal system: monoclinic. The value obtained for the energy relative to the elements is -0.017 eV/atom.

a = 4.5601 Å, b = 2.7092 Å, c = 7.0596 Å
α = 90.00°, β = 74.54°, γ = 90.00°
Positions (direct):
Ir 0.9006 0.5000 0.6514
Ir 0.1098 0.0000 0.3182
Li 0.5980 0.5000 0.3143
Li 0.3819 0.0000 0.6518
Os 0.0652 0.5000 0.0112
Os 0.5866 0.0000 0.9573

***

CaZnCd2 | PBE | optimized geometry

Properties
Its symmetry is I-42d (122). Its energy is -10.42 eV per cell. As for the crystal system: tetragonal. The value obtained for the energy relative to the elements is -0.026 eV/atom.

a = 4.4001 Å, b = 4.4001 Å, c = 11.1612 Å
α = 78.63°, β = 78.63°, γ = 90.00°
Positions (direct):
Cd 0.8750 0.9028 0.7500
Cd 0.6528 0.1250 0.2500
Cd 0.0972 0.6250 0.2500
Cd 0.3750 0.3472 0.7500
Zn 0.7500 0.2500 0.5000
Zn 0.0000 0.0000 0.0000
Ca 0.2500 0.7500 0.5000
Ca 0.5000 0.5000 0.0000